PmTlPt | PBE | relaxed

For the total energy, the calculation gives -4.571 eV/atom. The value obtained for the calculated density is 11.334 Mg/m³.

It has space group F-43m (No. 216), with a = 6.833 Å, b = 6.833 Å, c = 6.833 Å, α = 90.00°, β = 90.00° and γ = 90.00°. The inequivalent atoms are Pm at (0.000, 0.000, 0.000), Tl at (0.250, 0.250, 0.250) and Pt at (0.000, 0.000, 0.500).